An optimized crystal structure of CsNbCuTe3. Source: OQMD via LeMat-Bulk, functional PBE.

Lattice parameters (Å, degrees): 4.149 13.774 13.834 90.00 90.00 90.00
Atoms (fractional coordinates):
Cu (0.250, 0.805, 0.653)
Nb (0.750, 0.848, 0.534)
Nb (0.750, 0.652, 0.034)
Te (0.750, 0.830, 0.748)
Nb (0.250, 0.348, 0.966)
Cs (0.750, 0.556, 0.685)
Cs (0.250, 0.444, 0.315)
Te (0.750, 0.670, 0.248)
Te (0.250, 0.793, 0.994)
Te (0.250, 0.170, 0.252)
Cu (0.750, 0.195, 0.347)
Te (0.750, 0.293, 0.506)
Te (0.750, 0.056, 0.577)
Cu (0.750, 0.305, 0.847)
Cs (0.750, 0.944, 0.185)
Te (0.250, 0.330, 0.752)
Te (0.750, 0.207, 0.006)
Cu (0.250, 0.695, 0.153)
Te (0.250, 0.556, 0.923)
Nb (0.250, 0.152, 0.466)
Te (0.250, 0.707, 0.494)
Te (0.750, 0.444, 0.077)
Cs (0.250, 0.056, 0.815)
Te (0.250, 0.944, 0.423)

* total moment: 0.00 μB/f.u.
* total energy: -0.32581 Ry per atom
* symmetry: Pnma, No. 62

An optimized crystal structure of CsNbCuTe3. Source: OQMD via LeMat-Bulk, functional PBE.

Lattice parameters (Å, degrees): 9.583 4.027 10.869 90.00 114.67 90.00
Each line ends with the local moment (μB).
Atoms (fractional coordinates):
Te (0.652, 0.750, 0.622)  -0.02
Cs (0.991, 0.750, 0.218)  0.00
Cu (0.472, 0.750, 0.888)  0.01
Te (0.248, 0.750, 0.649)  -0.03
Cs (0.009, 0.250, 0.782)  0.00
Nb (0.536, 0.750, 0.329)  0.66
Nb (0.464, 0.250, 0.671)  0.66
Te (0.668, 0.250, 0.941)  -0.02
Te (0.348, 0.250, 0.378)  -0.02
Te (0.332, 0.750, 0.059)  -0.02
Te (0.752, 0.250, 0.351)  -0.03
Cu (0.528, 0.250, 0.112)  0.01

* total moment: 0.74 μB/f.u.
* total energy: -0.33121 Ry per atom
* symmetry: P2_1/m, No. 11

An optimized crystal structure of Cs2Nd4Cu4S9. Source: OQMD via LeMat-Bulk, functional PBE.

Lattice parameters (Å, degrees): 7.441 7.441 16.677 107.33 107.33 31.74
Atoms (fractional coordinates):
S (0.796, 0.796, 0.099)
Cs (0.473, 0.473, 0.233)
S (0.099, 0.099, 0.616)
Cu (0.928, 0.928, 0.536)
Nd (0.728, 0.728, 0.601)
Nd (0.154, 0.154, 0.053)
Nd (0.846, 0.846, 0.947)
Cs (0.527, 0.527, 0.767)
Nd (0.272, 0.272, 0.399)
Cu (0.072, 0.072, 0.464)
S (0.204, 0.204, 0.901)
Cu (0.262, 0.262, 0.784)
Cu (0.738, 0.738, 0.216)
S (0.639, 0.639, 0.426)
S (0.901, 0.901, 0.384)
S (0.834, 0.834, 0.775)
S (0.361, 0.361, 0.574)
S (0.500, 0.500, 0.000)
S (0.166, 0.166, 0.225)

* total moment: 0.00 μB/f.u.
* total energy: -0.38322 Ry per atom
* symmetry: C2/m, No. 12

An optimized crystal structure of CsNd2CuSeS3. Source: OQMD via LeMat-Bulk, functional PBE.

Lattice parameters (Å, degrees): 7.608 7.608 14.184 90.00 90.00 148.12
Atoms (fractional coordinates):
Se (0.500, 0.500, 0.500)
S (0.757, 0.243, 0.390)
Nd (0.861, 0.139, 0.938)
Nd (0.139, 0.861, 0.062)
Nd (0.139, 0.861, 0.438)
S (0.243, 0.757, 0.890)
S (0.757, 0.243, 0.110)
Cs (0.602, 0.398, 0.750)
Cu (0.332, 0.668, 0.750)
Nd (0.861, 0.139, 0.562)
Se (0.500, 0.500, 0.000)
Cu (0.668, 0.332, 0.250)
S (0.915, 0.085, 0.750)
S (0.243, 0.757, 0.610)
S (0.085, 0.915, 0.250)
Cs (0.398, 0.602, 0.250)

* total moment: 0.00 μB/f.u.
* total energy: -0.39356 Ry per atom
* symmetry: Cmcm, No. 63

An optimized crystal structure of CsNd2CuSeS3. Source: OQMD via LeMat-Bulk, functional PBE.

Lattice parameters (Å, degrees): 7.567 7.567 14.305 90.00 90.00 148.10
Atoms (fractional coordinates):
Se (0.423, 0.577, 0.750)
S (0.255, 0.745, 0.109)
S (0.000, 0.000, 0.000)
Nd (0.635, 0.365, 0.056)
Cs (0.889, 0.111, 0.250)
Cu (0.829, 0.171, 0.750)
Cu (0.171, 0.829, 0.250)
S (0.745, 0.255, 0.891)
S (0.255, 0.745, 0.391)
Cs (0.111, 0.889, 0.750)
S (0.745, 0.255, 0.609)
Nd (0.635, 0.365, 0.444)
S (0.000, 0.000, 0.500)
Nd (0.365, 0.635, 0.944)
Nd (0.365, 0.635, 0.556)
Se (0.577, 0.423, 0.250)

* total moment: 0.00 μB/f.u.
* total energy: -0.39201 Ry per atom
* symmetry: Cmcm, No. 63

An optimized crystal structure of CsNd2CuTe3S. Source: OQMD via LeMat-Bulk, functional PBE.

Lattice parameters (Å, degrees): 8.133 8.133 15.289 90.00 90.00 148.58
Atoms (fractional coordinates):
Te (0.769, 0.231, 0.616)
S (0.088, 0.912, 0.750)
Cu (0.339, 0.661, 0.250)
Nd (0.135, 0.865, 0.926)
Cs (0.587, 0.413, 0.250)
Nd (0.135, 0.865, 0.574)
Te (0.500, 0.500, 0.000)
Nd (0.865, 0.135, 0.074)
Te (0.231, 0.769, 0.384)
Cu (0.661, 0.339, 0.750)
Te (0.769, 0.231, 0.884)
Cs (0.413, 0.587, 0.750)
Te (0.231, 0.769, 0.116)
Te (0.500, 0.500, 0.500)
S (0.912, 0.088, 0.250)
Nd (0.865, 0.135, 0.426)

* total moment: 0.00 μB/f.u.
* total energy: -0.34714 Ry per atom
* symmetry: Cmcm, No. 63

An optimized crystal structure of Cs2Nd4Cu4Se9. Source: OQMD via LeMat-Bulk, functional PBE.

Lattice parameters (Å, degrees): 7.741 7.741 17.184 107.75 107.75 31.71
Atoms (fractional coordinates):
Nd (0.154, 0.154, 0.054)
Cu (0.926, 0.926, 0.531)
Se (0.797, 0.797, 0.102)
Se (0.636, 0.636, 0.425)
Se (0.364, 0.364, 0.575)
Se (0.103, 0.103, 0.623)
Se (0.160, 0.160, 0.225)
Cu (0.744, 0.744, 0.227)
Cu (0.074, 0.074, 0.469)
Se (0.500, 0.500, 0.000)
Se (0.840, 0.840, 0.775)
Cs (0.529, 0.529, 0.770)
Nd (0.270, 0.270, 0.399)
Se (0.203, 0.203, 0.898)
Nd (0.730, 0.730, 0.601)
Se (0.897, 0.897, 0.377)
Nd (0.846, 0.846, 0.946)
Cs (0.471, 0.471, 0.230)
Cu (0.256, 0.256, 0.773)

* total moment: 0.00 μB/f.u.
* total energy: -0.35321 Ry per atom
* symmetry: C2/m, No. 12

An optimized crystal structure of CsNd2Cu3Se5. Source: OQMD via LeMat-Bulk, functional PBE.

Lattice parameters (Å, degrees): 7.672 7.672 17.926 90.00 90.00 148.15
Atoms (fractional coordinates):
Nd (0.192, 0.808, 0.091)
Se (0.163, 0.837, 0.570)
Nd (0.808, 0.192, 0.909)
Cs (0.940, 0.060, 0.250)
Se (0.837, 0.163, 0.070)
Se (0.837, 0.163, 0.430)
Se (0.236, 0.764, 0.250)
Nd (0.808, 0.192, 0.591)
Se (0.163, 0.837, 0.930)
Cu (0.337, 0.663, 0.750)
Se (0.556, 0.444, 0.389)
Cu (0.663, 0.337, 0.250)
Cu (0.415, 0.585, 0.028)
Cu (0.585, 0.415, 0.528)
Nd (0.192, 0.808, 0.409)
Se (0.764, 0.236, 0.750)
Se (0.444, 0.556, 0.611)
Se (0.444, 0.556, 0.889)
Se (0.556, 0.444, 0.111)
Cu (0.585, 0.415, 0.972)
Cs (0.060, 0.940, 0.750)
Cu (0.415, 0.585, 0.472)

* total moment: 0.00 μB/f.u.
* total energy: -0.34237 Ry per atom
* symmetry: Cmcm, No. 63

An optimized crystal structure of CsNd2CuTeSe3. Source: OQMD via LeMat-Bulk, functional PBE.

Lattice parameters (Å, degrees): 7.882 7.882 15.048 90.00 90.00 148.08
Atoms (fractional coordinates):
Nd (0.134, 0.866, 0.054)
Se (0.500, 0.500, 0.500)
Se (0.246, 0.754, 0.891)
Se (0.754, 0.246, 0.109)
Se (0.754, 0.246, 0.391)
Te (0.068, 0.932, 0.250)
Se (0.246, 0.754, 0.609)
Cs (0.622, 0.378, 0.750)
Te (0.932, 0.068, 0.750)
Cs (0.378, 0.622, 0.250)
Nd (0.866, 0.134, 0.946)
Se (0.500, 0.500, 0.000)
Nd (0.134, 0.866, 0.446)
Nd (0.866, 0.134, 0.554)
Cu (0.664, 0.336, 0.250)
Cu (0.336, 0.664, 0.750)

* total moment: 0.00 μB/f.u.
* total energy: -0.35855 Ry per atom
* symmetry: Cmcm, No. 63

An optimized crystal structure of CsNd2Cu3Te4Se. Source: OQMD via LeMat-Bulk, functional PBE.

Lattice parameters (Å, degrees): 8.121 8.121 18.560 90.00 90.00 148.61
Atoms (fractional coordinates):
Te (0.341, 0.659, 0.570)
Cu (0.916, 0.084, 0.521)
Se (0.736, 0.264, 0.750)
Nd (0.305, 0.695, 0.096)
Te (0.054, 0.946, 0.881)
Cu (0.084, 0.916, 0.479)
Cs (0.431, 0.569, 0.750)
Te (0.946, 0.054, 0.381)
Te (0.659, 0.341, 0.430)
Te (0.946, 0.054, 0.119)
Cs (0.569, 0.431, 0.250)
Te (0.341, 0.659, 0.930)
Se (0.264, 0.736, 0.250)
Nd (0.695, 0.305, 0.904)
Cu (0.084, 0.916, 0.021)
Cu (0.835, 0.165, 0.250)
Te (0.054, 0.946, 0.619)
Cu (0.165, 0.835, 0.750)
Nd (0.305, 0.695, 0.404)
Nd (0.695, 0.305, 0.596)
Cu (0.916, 0.084, 0.979)
Te (0.659, 0.341, 0.070)

* total moment: 0.00 μB/f.u.
* total energy: -0.31777 Ry per atom
* symmetry: Cmcm, No. 63

An optimized crystal structure of CsCuNiSe2S. Source: OQMD via LeMat-Bulk, functional PBE.

Lattice parameters (Å, degrees): 7.927 7.927 10.110 90.00 90.00 152.95
Atoms (fractional coordinates):
Se (0.901, 0.099, 0.034)
Cs (0.245, 0.755, 0.250)
Cu (0.036, 0.964, 0.750)
Se (0.099, 0.901, 0.534)
Cs (0.755, 0.245, 0.750)
S (0.453, 0.547, 0.750)
Cu (0.964, 0.036, 0.250)
Se (0.099, 0.901, 0.966)
Se (0.901, 0.099, 0.466)
Ni (0.500, 0.500, 0.000)
S (0.547, 0.453, 0.250)
Ni (0.500, 0.500, 0.500)

* total moment: 0.00 μB/f.u.
* total energy: -0.28880 Ry per atom
* symmetry: Cmcm, No. 63

An optimized crystal structure of CsCu3NiSe4. Source: OQMD via LeMat-Bulk, functional PBE.

Lattice parameters (Å, degrees): 5.808 7.532 10.151 90.00 106.20 90.00
Atoms (fractional coordinates):
Se (0.712, 0.250, 0.897)
Cu (0.220, 0.493, 0.503)
Ni (0.848, 0.250, 0.706)
Ni (0.152, 0.750, 0.294)
Se (0.514, 0.250, 0.501)
Se (0.486, 0.750, 0.499)
Cs (0.315, 0.250, 0.114)
Se (0.907, 0.497, 0.288)
Cu (0.361, 0.250, 0.713)
Cs (0.685, 0.750, 0.886)
Se (0.907, 0.003, 0.288)
Se (0.093, 0.503, 0.712)
Cu (0.780, 0.993, 0.497)
Se (0.093, 0.997, 0.712)
Cu (0.220, 0.007, 0.503)
Cu (0.780, 0.507, 0.497)
Se (0.288, 0.750, 0.103)
Cu (0.639, 0.750, 0.287)

* total moment: 0.02 μB/f.u.
* total energy: -0.28345 Ry per atom
* symmetry: P2_1/m, No. 11